DFT (GGA-PBE) results for an optimized crystal structure of Zn2HgIr.

abc: 4.015 4.019 3.931
angles: 90.00 90.00 90.00
Fractional coordinates of all 4 atoms:
Hg 0.500 0.000 0.500
Ir 0.000 0.500 0.500
Zn 0.000 0.000 0.000
Zn 0.500 0.500 0.000

Output
Energy relative to the elements in eV/f.u.: 0.291
SG: P4/mmm

=====

DFT (GGA-PBE) results for an optimized crystal structure of Tl3OsPb.

abc: 5.325 5.325 5.325
angles: 90.00 90.00 90.00
Fractional coordinates of all 5 atoms:
Pb 0.500 0.500 0.500
Tl 0.000 0.500 0.000
Tl 0.000 0.000 0.500
Tl 0.500 0.000 0.000
Os 0.000 0.000 0.000

Output
ΔE to the lowest computed polymorph in meV/atom: 0
Energy relative to the elements in eV/f.u.: 2.922
SG: Pm-3m

=====

DFT (GGA-PBE) results for an optimized crystal structure of TaNb6Al.

abc: 4.651 5.719 5.719
angles: 109.24 90.00 90.00
Fractional coordinates of all 8 atoms:
Ta 0.500 0.625 0.375
Nb 0.500 0.125 0.375
Nb 0.500 0.625 0.875
Nb 0.000 0.387 0.137
Nb 0.000 0.863 0.613
Nb 0.000 0.368 0.632
Nb 0.000 0.882 0.118
Al 0.500 0.125 0.875

Output
ΔE to the lowest computed polymorph in meV/atom: 36
Energy relative to the elements in eV/f.u.: -0.685
SG: Cmmm

=====

DFT (GGA-PBE) results for an optimized crystal structure of InIr2Cl.

abc: 9.924 9.924 9.924
angles: 17.20 17.20 17.20
Fractional coordinates of all 4 atoms:
Cl 0.520 0.520 0.520
Ir 0.989 0.989 0.989
Ir 0.253 0.253 0.253
In 0.738 0.738 0.738

Output
ΔE to the lowest computed polymorph in meV/atom: 224
Raw formation energy in eV/atom: 0.40
SG: R3m

=====

DFT (GGA-PBE) results for an optimized crystal structure of LiPu3F6.

abc: 6.854 6.854 6.854
angles: 77.93 77.93 77.93
Site moments in Bohr magnetons follow the coordinates.
Fractional coordinates of all 20 atoms:
Li 0.000 0.000 0.000  0.00
Li 0.500 0.500 0.500  0.00
Pu 0.576 0.890 0.768  1.65
Pu 0.890 0.768 0.576  1.65
Pu 0.232 0.424 0.110  1.65
Pu 0.768 0.576 0.890  1.65
Pu 0.110 0.232 0.424  1.65
Pu 0.424 0.110 0.232  1.65
F 0.306 0.919 0.025  -0.01
F 0.081 0.975 0.694  -0.01
F 0.543 0.807 0.414  -0.01
F 0.975 0.694 0.081  -0.01
F 0.414 0.543 0.807  -0.01
F 0.193 0.586 0.457  -0.01
F 0.807 0.414 0.543  -0.01
F 0.586 0.457 0.193  -0.01
F 0.025 0.306 0.919  -0.01
F 0.457 0.193 0.586  -0.01
F 0.919 0.025 0.306  -0.01
F 0.694 0.081 0.975  -0.01

Output
Raw formation energy in eV/atom: -2.42
SG: R-3

=====

DFT (GGA-PBE) results for an optimized crystal structure of Li2TaCo2.

abc: 3.148 3.148 7.000
angles: 77.01 77.01 90.00
Fractional coordinates of all 5 atoms:
Li 0.750 0.250 0.500
Li 0.250 0.750 0.500
Co 0.403 0.403 0.193
Co 0.597 0.597 0.807
Ta 0.000 0.000 0.000

Output
ΔE to the lowest computed polymorph in meV/atom: 0
Energy relative to the elements in eV/f.u.: 1.015
SG: I4/mmm

=====

DFT (GGA-PBE) results for an optimized crystal structure of Dy5MgAl3.

abc: 6.474 9.031 9.031
angles: 120.00 90.00 90.00
Fractional coordinates of all 18 atoms:
Dy 0.000 0.667 0.333
Dy 0.500 0.333 0.667
Dy 0.000 0.333 0.667
Dy 0.500 0.667 0.333
Dy 0.750 0.688 0.688
Dy 0.750 0.000 0.312
Dy 0.750 0.312 0.000
Dy 0.250 0.312 0.312
Dy 0.250 0.000 0.688
Dy 0.250 0.688 0.000
Mg 0.000 0.000 0.000
Mg 0.500 0.000 0.000
Al 0.750 0.351 0.351
Al 0.750 0.000 0.649
Al 0.750 0.649 0.000
Al 0.250 0.649 0.649
Al 0.250 0.000 0.351
Al 0.250 0.351 0.000

Output
Energy relative to the elements in eV/f.u.: -2.550
SG: P6_3/mcm

=====

DFT (GGA-PBE) results for an optimized crystal structure of HoNpV.

abc: 6.057 5.911 8.909
angles: 79.97 70.13 59.18
Site moments in Bohr magnetons follow the coordinates.
Fractional coordinates of all 12 atoms:
Ho 0.163 0.500 0.673  0.21
Ho 0.337 0.500 0.327  0.21
Ho 0.587 0.000 0.827  0.21
Ho 0.413 0.000 0.173  0.21
Np 0.622 0.500 0.755  3.19
Np 0.878 0.500 0.245  3.19
Np 0.128 0.000 0.745  3.19
Np 0.872 0.000 0.255  3.19
V 0.936 0.128 0.500  -0.56
V 0.564 0.872 0.500  -0.56
V 0.814 0.372 0.000  -0.56
V 0.186 0.628 0.000  -0.56

Output
Energy relative to the elements in eV/f.u.: 2.207
SG: Fddd

=====

DFT (GGA-PBE) results for an optimized crystal structure of HgBi5Pb6.

abc: 8.168 8.078 8.078
angles: 123.54 99.83 99.83
Fractional coordinates of all 12 atoms:
Pb 0.250 0.083 0.421
Pb 0.750 0.579 0.917
Pb 0.742 0.250 0.250
Pb 0.258 0.750 0.750
Pb 0.250 0.421 0.083
Pb 0.750 0.917 0.579
Hg 0.000 0.000 0.000
Bi 0.500 0.169 0.831
Bi 0.000 0.337 0.663
Bi 0.500 0.500 0.500
Bi 0.000 0.663 0.337
Bi 0.500 0.831 0.169

Output
ΔE to the lowest computed polymorph in meV/atom: 11
Energy relative to the elements in eV/f.u.: 1.084
SG: C2/m

=====

DFT (GGA-PBE) results for an optimized crystal structure of YAl2GaB.

abc: 5.171 3.842 5.171
angles: 90.00 90.00 90.00
Fractional coordinates of all 5 atoms:
Y 0.500 0.500 0.500
B 0.000 0.500 0.000
Al 0.000 0.000 0.500
Al 0.500 0.000 0.000
Ga 0.000 0.000 0.000

Output
Energy relative to the elements in eV/f.u.: 2.842
SG: P4/mmm

=====

DFT (GGA-PBE) results for an optimized crystal structure of MnCu6Au8.

abc: 6.350 6.350 6.350
angles: 81.94 81.94 81.94
Site moments in Bohr magnetons follow the coordinates.
Fractional coordinates of all 15 atoms:
Mn 0.000 0.000 0.000  3.94
Cu 0.566 0.426 0.777  0.00
Cu 0.426 0.777 0.566  0.00
Cu 0.777 0.566 0.426  0.00
Cu 0.434 0.574 0.223  0.00
Cu 0.574 0.223 0.434  0.00
Cu 0.223 0.434 0.574  0.00
Au 0.774 0.774 0.774  0.02
Au 0.226 0.226 0.226  0.02
Au 0.615 0.923 0.185  0.03
Au 0.923 0.185 0.615  0.03
Au 0.185 0.615 0.923  0.03
Au 0.385 0.077 0.815  0.03
Au 0.077 0.815 0.385  0.03
Au 0.815 0.385 0.077  0.03

Output
ΔE to the lowest computed polymorph in meV/atom: 0
Energy relative to the elements in eV/f.u.: 1.344
SG: R-3

=====

Volume values, unit Å³/atom, following the record order: 15.85, 30.20, 17.95, 18.64, 15.17, 13.15, 25.41, 21.47, 34.53, 20.55, 16.60.
Size of the total moment values, unit μB/atom, following the record order: 0.000, 0.000, 0.000, 0.001, 0.502, 0.000, 0.000, 0.951, 0.000, 0.000, 0.294.